1.
# TiHgF3

Crystalline TiHgF3 at its relaxed geometry (GGA-PBE, Alexandria via LeMat-Bulk).

The structure in POSCAR format:
```
TiHgF3
1.0
4.568 0.000 0.000
0.000 4.568 0.000
0.000 0.000 4.568
Hg F Ti
1 3 1
Direct
0.000 0.000 0.000 Hg
0.000 0.500 0.000 F
0.500 0.000 0.000 F
0.000 0.000 0.500 F
0.500 0.500 0.500 Ti
```

Computed properties:
The density of states at the Fermi level comes out at 2.772 states/eV per atom. The magnetic moment is 0.335 μB per formula unit. For the total DFT energy (no corrections), the calculation gives -0.2579 Ry per atom. The density is 5.3 g/cm³.

---

2.
# EuYAgPt

Crystalline EuYAgPt at its relaxed geometry (GGA-PBE, Alexandria via LeMat-Bulk).

The structure in POSCAR format:
```
EuYAgPt
1.0
5.108 0.000 0.000
2.554 4.424 0.000
2.554 1.475 4.171
Ag Eu Y Pt
1 1 1 1
Direct
0.250 0.250 0.250 Ag
0.000 0.000 0.000 Eu
0.500 0.500 0.500 Y
0.750 0.750 0.750 Pt
```

Computed properties:
The calculation puts the formation energy at -2.6 eV per formula unit. The density of states at the Fermi level comes out at 2.255 states/eV per atom. The magnetic moment is 7.045 μB per formula unit. For the total DFT energy (no corrections), the calculation gives -0.5190 Ry per atom. The density is 9.6 g/cm³.

---

- Which of these has the highest total DFT energy (no corrections)?
  TiHgF3

---

- What is the formula in the first record?
  TiHgF3